Entry from Alexandria: KPrMn2O8 after structural relaxation (PBE+U).

Values from the calculation:
Total DFT energy (no corrections) (eV/atom): -6.450

POSCAR file:
```
KPrMn2O8
1.0
-1.2633 5.4755 1.5767
1.8021 -3.8471 4.0019
7.4613 2.1059 -1.3354
K Pr Mn O
1 1 2 8
direct
0.0000 0.0000 0.0000 K
0.0000 0.0000 0.5000 Pr
0.6667 0.3333 0.2314 Mn
0.3333 0.6667 0.7686 Mn
0.3333 0.6667 0.9748 O
0.3545 0.1852 0.3041 O
0.8148 0.1693 0.3041 O
0.6667 0.3333 0.0252 O
0.1852 0.8307 0.6959 O
0.6455 0.8148 0.6959 O
0.1693 0.3545 0.6959 O
0.8307 0.6455 0.3041 O
```